1.
# GGA-PBE KPm2BO5, relaxed
data_KPm2BO5
_chemical_formula_sum 'K2 Pm4 B2 O10'
_symmetry_space_group_name_H-M 'P 4/m b m'
_symmetry_Int_Tables_number 127
_symmetry_space_group_name_Hall '-P 4 2ab'
_cell_length_a 6.6438
_cell_length_b 6.6438
_cell_length_c 5.3081
_cell_angle_alpha 90.00
_cell_angle_beta 90.00
_cell_angle_gamma 90.00
loop_
_atom_site_label
_atom_site_type_symbol
_atom_site_fract_x
_atom_site_fract_y
_atom_site_fract_z
K1 K 0.0000 0.0000 0.0000
Pm1 Pm 0.1795 0.3205 0.5000
B1 B 0.0000 0.5000 0.0000
O1 O 0.0000 0.0000 0.5000
O2 O 0.1193 0.6193 0.2163
# * magnetization: 0.000 μB/atom
# * calculated total energy: -7.155 eV/atom
# * formation energy (no corrections): -2.48 eV per atom

***

2.
# GGA-PBE YZrCl2, relaxed
data_YZrCl2
_chemical_formula_sum 'Y1 Zr1 Cl2'
_symmetry_space_group_name_H-M 'P 4 m m'
_symmetry_Int_Tables_number 99
_symmetry_space_group_name_Hall 'P 4 -2'
_cell_length_a 3.3689
_cell_length_b 3.3689
_cell_length_c 9.1983
_cell_angle_alpha 90.00
_cell_angle_beta 90.00
_cell_angle_gamma 90.00
loop_
_atom_site_label
_atom_site_type_symbol
_atom_site_fract_x
_atom_site_fract_y
_atom_site_fract_z
Y1 Y 0.0000 0.0000 0.0000
Zr1 Zr 0.5000 0.5000 0.2719
Cl1 Cl 0.0000 0.0000 0.4312
Cl2 Cl 0.5000 0.5000 0.8251
# * magnetization: 0.048 μB/atom
# * calculated total energy: -5.820 eV/atom
# * energy relative to the lowest polymorph listed for this composition: 186 meV/atom
# * formation energy (no corrections): -1.14 eV per atom

***

3.
# GGA-PBE Pu2Pa8Re, relaxed
data_Pu2Pa8Re
_chemical_formula_sum 'Pu4 Pa16 Re2'
_symmetry_space_group_name_H-M 'C 1 2/m 1'
_symmetry_Int_Tables_number 12
_symmetry_space_group_name_Hall '-C 2y'
_cell_length_a 12.6875
_cell_length_b 8.5822
_cell_length_c 5.3855
_cell_angle_alpha 90.00
_cell_angle_beta 112.16
_cell_angle_gamma 90.00
loop_
_atom_site_label
_atom_site_type_symbol
_atom_site_fract_x
_atom_site_fract_y
_atom_site_fract_z
Pu1 Pu 0.2389 0.0000 0.0360
Pa1 Pa 0.1013 0.0000 0.2664
Pa2 Pa 0.1307 0.2310 0.7609
Pa3 Pa 0.1377 0.5000 0.2297
Re1 Re 0.0000 0.5000 0.5000
# * calculated formation energy: 0.160 eV/atom
# * magnetization: 0.000 μB/atom
# * calculated total energy: -10.483 eV/atom

***

4.
# GGA-PBE BaRuSe2O8, relaxed
data_BaRuSe2O8
_chemical_formula_sum 'Ba2 Ru2 Se4 O16'
_symmetry_space_group_name_H-M 'C 1 2/m 1'
_symmetry_Int_Tables_number 12
_symmetry_space_group_name_Hall '-C 2y'
_cell_length_a 8.6580
_cell_length_b 5.6803
_cell_length_c 7.7624
_cell_angle_alpha 90.00
_cell_angle_beta 93.88
_cell_angle_gamma 90.00
loop_
_atom_site_label
_atom_site_type_symbol
_atom_site_fract_x
_atom_site_fract_y
_atom_site_fract_z
Ba1 Ba 0.0000 0.0000 0.0000
Ru1 Ru 0.0000 0.0000 0.5000
Se1 Se 0.1322 0.5000 0.3083
O1 O 0.0095 0.2514 0.3086
O2 O 0.1947 0.5000 0.1060
O3 O 0.2345 0.0000 0.5149
# * magnetization: 0.000 μB/atom
# * calculated total energy: -5.864 eV/atom
# * formation energy (no corrections): -1.04 eV per atom

***

5.
# GGA-PBE Ba2Ga3Ag2, relaxed
data_Ba2Ga3Ag2
_chemical_formula_sum 'Ba4 Ga6 Ag4'
_symmetry_space_group_name_H-M 'C 1 2/m 1'
_symmetry_Int_Tables_number 12
_symmetry_space_group_name_Hall '-C 2y'
_cell_length_a 11.4844
_cell_length_b 4.9528
_cell_length_c 6.9534
_cell_angle_alpha 90.00
_cell_angle_beta 109.80
_cell_angle_gamma 90.00
loop_
_atom_site_label
_atom_site_type_symbol
_atom_site_fract_x
_atom_site_fract_y
_atom_site_fract_z
Ba1 Ba 0.1476 0.0000 0.2885
Ga1 Ga 0.0000 0.5000 0.5000
Ga2 Ga 0.0848 0.5000 0.8982
Ag1 Ag 0.1679 0.0000 0.8186
# * calculated formation energy: -0.287 eV/atom
# * magnetization: 0.000 μB/atom
# * calculated total energy: -2.948 eV/atom

***

6.
# GGA-PBE InAsRh2I, relaxed
data_InAsRh2I
_chemical_formula_sum 'In1 As1 Rh2 I1'
_symmetry_space_group_name_H-M 'P 4/m m m'
_symmetry_Int_Tables_number 123
_symmetry_space_group_name_Hall '-P 4 2'
_cell_length_a 4.6404
_cell_length_b 4.6404
_cell_length_c 6.0230
_cell_angle_alpha 90.00
_cell_angle_beta 90.00
_cell_angle_gamma 90.00
loop_
_atom_site_label
_atom_site_type_symbol
_atom_site_fract_x
_atom_site_fract_y
_atom_site_fract_z
In1 In 0.0000 0.0000 0.0000
As1 As 0.5000 0.5000 0.5000
Rh1 Rh 0.0000 0.5000 0.5000
I1 I 0.5000 0.5000 0.0000
# * magnetization: 0.028 μB/atom
# * calculated total energy: -4.269 eV/atom
# * formation energy (no corrections): 0.46 eV per atom

***

7.
# GGA-PBE Tb3Dy2Y5, relaxed
data_Tb3Dy2Y5
_chemical_formula_sum 'Tb12 Dy8 Y20'
_symmetry_space_group_name_H-M 'I b a m'
_symmetry_Int_Tables_number 72
_symmetry_space_group_name_Hall '-I 2 2c'
_cell_length_a 9.7919
_cell_length_b 20.0522
_cell_length_c 6.7356
_cell_angle_alpha 90.00
_cell_angle_beta 90.00
_cell_angle_gamma 90.00
loop_
_atom_site_label
_atom_site_type_symbol
_atom_site_fract_x
_atom_site_fract_y
_atom_site_fract_z
Tb1 Tb 0.0000 0.0000 0.2500
Tb2 Tb 0.1874 0.3753 0.0000
Dy1 Dy 0.2497 0.0573 0.0000
Y1 Y 0.0000 0.1672 0.2500
Y2 Y 0.0000 0.5000 0.2500
Y3 Y 0.1695 0.2904 0.5000
# * calculated formation energy: 0.241 eV/atom
# * magnetization: 0.001 μB/atom
# * calculated total energy: -5.301 eV/atom
# * energy relative to the lowest polymorph listed for this composition: 48 meV/atom

***

8.
# GGA-PBE TmNpAu6, relaxed
data_TmNpAu6
_chemical_formula_sum 'Tm2 Np2 Au12'
_symmetry_space_group_name_H-M 'C 1 2/m 1'
_symmetry_Int_Tables_number 12
_symmetry_space_group_name_Hall '-C 2y'
_cell_length_a 8.4566
_cell_length_b 4.8623
_cell_length_c 8.4932
_cell_angle_alpha 90.00
_cell_angle_beta 109.69
_cell_angle_gamma 90.00
loop_
_atom_site_label
_atom_site_type_symbol
_atom_site_fract_x
_atom_site_fract_y
_atom_site_fract_z
Tm1 Tm 0.0000 0.0000 0.0000
Np1 Np 0.0000 0.5000 0.5000
Au1 Au 0.1226 0.0000 0.3680
Au2 Au 0.1279 0.5000 0.8818
Au3 Au 0.2498 0.0000 0.7476
# * calculated formation energy: -0.414 eV/atom
# * magnetization: 0.501 μB/atom
# * calculated total energy: -5.048 eV/atom